Ce2ZrGa (GGA-PBE, relaxed); ρ = 7.7 Mg/m³; formation enthalpy at 0 K = -156 meV/atom
1.0
3.125 0.000 0.000
0.000 3.125 0.000
0.000 0.000 9.762
Ce Zr Ga
2 1 1
direct
0.000 0.000 0.231
0.000 0.000 0.769
0.500 0.500 0.500
0.500 0.500 0.000

CeZrGa (GGA-PBE, relaxed); ρ = 7.1 Mg/m³; formation enthalpy at 0 K = -187 meV/atom
1.0
2.314 1.336 7.610
-2.314 1.336 7.610
0.000 -2.672 7.610
Ce Zr Ga
2 2 2
direct
0.140 0.140 0.140
0.860 0.860 0.860
0.292 0.292 0.292
0.708 0.708 0.708
0.416 0.416 0.416
0.584 0.584 0.584

CeZrGa2 (GGA-PBE, relaxed); ρ = 7.2 Mg/m³; formation enthalpy at 0 K = -279 meV/atom
1.0
1.576 0.910 9.907
-1.576 0.910 9.907
0.000 -1.820 9.907
Ce Zr Ga
1 1 2
direct
0.000 0.000 0.000
0.500 0.500 0.500
0.245 0.245 0.245
0.755 0.755 0.755

CeZrGa (GGA-PBE, relaxed); ρ = 7.3 Mg/m³; formation enthalpy at 0 K = -232 meV/atom
1.0
-1.918 1.918 4.638
1.918 -1.918 4.638
1.918 1.918 -4.638
Ce Zr Ga
1 1 1
direct
0.000 0.000 0.000
0.288 0.288 0.000
0.665 0.665 0.000

CeZrGa (GGA-PBE, relaxed); ρ = 7.2 Mg/m³; formation enthalpy at 0 K = -143 meV/atom
1.0
4.941 0.000 0.000
-2.470 4.279 0.000
0.000 0.000 3.303
Ce Zr Ga
1 1 1
direct
0.000 0.000 0.000
0.667 0.333 0.465
0.333 0.667 0.559

Ce2ZrGa3 (GGA-PBE, relaxed); ρ = 7.3 Mg/m³; formation enthalpy at 0 K = -504 meV/atom
1.0
6.027 0.000 0.000
-3.013 5.220 0.000
0.000 0.000 8.436
Ce Zr Ga
4 2 6
direct
0.333 0.667 0.081
0.333 0.667 0.419
0.667 0.333 0.581
0.667 0.333 0.919
0.000 0.000 0.000
0.000 0.000 0.500
0.183 0.367 0.750
0.183 0.817 0.750
0.367 0.183 0.250
0.633 0.817 0.750
0.817 0.183 0.250
0.817 0.633 0.250

CeZr2Ga6 (GGA-PBE, relaxed); ρ = 6.6 Mg/m³; formation enthalpy at 0 K = -406 meV/atom
1.0
-2.100 3.473 6.381
2.100 -3.473 6.381
2.100 3.473 -6.381
Ce Zr Ga
1 2 6
direct
0.000 0.000 0.000
0.379 0.879 0.500
0.621 0.121 0.500
0.018 0.310 0.708
0.319 0.500 0.819
0.398 0.690 0.708
0.602 0.310 0.292
0.681 0.500 0.181
0.982 0.690 0.292

CeZr2Ga (GGA-PBE, relaxed); ρ = 7.4 Mg/m³; formation enthalpy at 0 K = -173 meV/atom
1.0
3.557 0.000 0.000
0.000 3.557 0.000
0.000 0.000 6.948
Ce Zr Ga
1 2 1
direct
0.000 0.000 0.000
0.500 0.500 0.283
0.500 0.500 0.717
0.000 0.000 0.500

Ce2ZrGa (GGA-PBE, relaxed); ρ = 8.1 Mg/m³; formation enthalpy at 0 K = -196 meV/atom
1.0
2.008 -11.132 0.000
2.008 11.132 0.000
0.000 0.000 4.042
Ce Zr Ga
4 2 2
direct
0.063 0.937 0.750
0.432 0.568 0.750
0.568 0.432 0.250
0.937 0.063 0.250
0.202 0.798 0.250
0.798 0.202 0.750
0.328 0.672 0.250
0.672 0.328 0.750

Ce2ZrGa4 (GGA-PBE, relaxed); ρ = 5.8 Mg/m³; formation enthalpy at 0 K = 55 meV/atom
1.0
2.652 -6.789 0.000
2.652 6.789 0.000
0.000 0.000 5.145
Ce Zr Ga
2 1 4
direct
0.193 0.807 0.000
0.807 0.193 0.000
0.500 0.500 0.500
0.090 0.910 0.500
0.409 0.591 0.000
0.591 0.409 0.000
0.910 0.090 0.500

CeZrGa2 (GGA-PBE, relaxed); ρ = 7.2 Mg/m³; formation enthalpy at 0 K = -368 meV/atom
1.0
4.539 0.000 0.000
0.000 4.539 0.000
0.000 0.000 4.142
Ce Zr Ga
1 1 2
direct
0.000 0.000 0.000
0.500 0.500 0.000
0.000 0.500 0.500
0.500 0.000 0.500

CeGd3 (GGA-PBE, relaxed); ρ = 7.9 Mg/m³; formation enthalpy at 0 K = 94 meV/atom
1.0
5.041 0.000 0.000
0.000 5.041 0.000
0.000 0.000 5.041
Ce Gd
1 3
direct
0.000 0.000 0.000
0.000 0.500 0.500
0.500 0.000 0.500
0.500 0.500 0.000

Ce5Gd (GGA-PBE, relaxed); ρ = 8.7 Mg/m³; formation enthalpy at 0 K = 65 meV/atom
1.0
2.385 -7.205 0.000
2.385 7.205 0.000
0.000 0.000 4.772
Ce Gd
5 1
direct
0.000 0.000 0.000
0.170 0.830 0.500
0.332 0.668 0.000
0.668 0.332 0.000
0.830 0.170 0.500
0.500 0.500 0.500